Computed, not measured: crystalline KRb3Th2Te6 at its relaxed geometry at the PBE-GGA level of DFT.

Properties
The calculation puts the volume at 42.51 A^3/atom. The total magnetic moment comes out at 0.00 μB per formula unit. As for the uncorrected formation energy: -1216 meV per atom.

CIF file:
```
data_KRb3Th2Te6
_chemical_formula_sum 'K2 Rb6 Th4 Te12'
_cell_length_a 21.876
_cell_length_b 4.712
_cell_length_c 10.336
_cell_angle_alpha 90.00
_cell_angle_beta 106.73
_cell_angle_gamma 90.00
_symmetry_space_group_name_H-M 'C 1 2/m 1'
_symmetry_Int_Tables_number 12
loop_
_symmetry_equiv_pos_as_xyz
'x,y,z'
'-x,-y,-z'
'-x,y,-z'
'x,-y,z'
'x+1/2,y+1/2,z'
'-x+1/2,-y+1/2,-z'
'-x+1/2,y+1/2,-z'
'x+1/2,-y+1/2,z'
loop_
_atom_site_label
_atom_site_type_symbol
_atom_site_fract_x
_atom_site_fract_y
_atom_site_fract_z
K1 K 0.000 0.000 0.000
Rb1 Rb 0.000 0.000 0.500
Rb2 Rb 0.155 0.500 0.834
Th1 Th 0.165 0.500 0.331
Te1 Te 0.022 0.500 0.258
Te2 Te 0.174 0.000 0.133
Te3 Te 0.179 0.000 0.552
```